WSe4 | PBE | optimized geometry

Cell: 5.321 5.321 5.321 Å, 109.47 109.47 109.47°
Atoms (fractional coordinates):
W (0.000, 0.000, 0.000)
Se (0.000, 0.000, 0.500)
Se (0.000, 0.500, 0.000)
Se (0.500, 0.000, 0.000)
Se (0.500, 0.500, 0.500)

Space-group type   No. 229
Raw formation energy   0.575 eV/atom